No. 1
DFT (PBE-GGA) results for crystalline Cd4O3F at its relaxed geometry.

The energy relative to the elements, uncorrected comes out at -1.14 eV/atom. The value obtained for the offset from the most stable computed form is 0.00 eV/f.u. Its density of states at the Fermi level is 0.1545 states/eV/atom.

The space group is Pmn2_1 (No. 31) and the conventional cell measures 7.476, 6.463 and 5.978 Å, with angles of 90.00, 90.00 and 90.00 degrees. The inequivalent atoms are Cd at (0.000, 0.166, 0.000), Cd at (0.000, 0.808, 0.535), Cd at (0.233, 0.656, 0.033), O at (0.000, 0.836, 0.906), O at (0.249, 0.332, 0.906) and F at (0.000, 0.166, 0.409).

No. 2
DFT (PBE-GGA) results for crystalline Tb2Zn5NiRh2 at its relaxed geometry.

Its density of states at the Fermi level is 0.5927 states/eV/atom. The calculation puts the formation enthalpy at 0 K at -3.917 eV/f.u.

The space group is P4/mbm (No. 127) and the conventional cell measures 9.723, 9.723 and 3.638 Å, with angles of 90.00, 90.00 and 90.00 degrees. The inequivalent atoms are Tb at (0.178, 0.322, 0.000), Zn at (0.000, 0.500, 0.500), Zn at (0.053, 0.814, 0.500), Ni at (0.000, 0.000, 0.000) and Rh at (0.127, 0.627, 0.000).

No. 3
DFT (PBE-GGA) results for crystalline Na4Sr5Tl2 at its relaxed geometry.

Its density of states at the Fermi level is 0.8224 states/eV/atom. The calculation puts the formation enthalpy at 0 K at -1.397 eV/f.u.

The space group is Pbam (No. 55) and the conventional cell measures 9.764, 21.801 and 4.293 Å, with angles of 90.00, 90.00 and 90.00 degrees. The inequivalent atoms are Na at (0.077, 0.154, 0.000), Na at (0.206, 0.429, 0.000), Sr at (0.000, 0.000, 0.500), Sr at (0.116, 0.587, 0.500), Sr at (0.240, 0.778, 0.500) and Tl at (0.020, 0.700, 0.000).

No. 4
DFT (PBE-GGA) results for crystalline PtRh2Br at its relaxed geometry.

The energy relative to the elements, uncorrected comes out at 0.40 eV/atom. The value obtained for the offset from the most stable computed form is 0.43 eV/f.u. Its density of states at the Fermi level is 1.4542 states/eV/atom.

The space group is R-3m (No. 166, hexagonal axes) and the conventional cell measures 2.9535, 2.9535 and 25.4345 Å, with angles of 90.00, 90.00 and 120.00 degrees. The inequivalent atoms are Pt at (0.0000, 0.0000, 0.0000), Rh at (0.0000, 0.0000, 0.2489) and Br at (0.0000, 0.0000, 0.5000).

No. 5
DFT (PBE-GGA) results for crystalline CuSi2Te at its relaxed geometry.

The energy relative to the elements, uncorrected comes out at 0.51 eV/atom. Its density of states at the Fermi level is 0.5898 states/eV/atom.

The space group is P4/mmm (No. 123) and the conventional cell measures 3.735, 3.735 and 5.319 Å, with angles of 90.00, 90.00 and 90.00 degrees. The inequivalent atoms are Cu at (0.000, 0.000, 0.000), Si at (0.000, 0.500, 0.500) and Te at (0.500, 0.500, 0.000).

No. 6
DFT (PBE-GGA) results for crystalline Cs2SrIn2Br6 at its relaxed geometry.

The energy relative to the elements, uncorrected comes out at -1.43 eV/atom. Its density of states at the Fermi level is 0.0000 states/eV/atom.

The space group is C2/m (No. 12) and the conventional cell measures 12.166, 8.527 and 9.438 Å, with angles of 90.00, 108.80 and 90.00 degrees. The inequivalent atoms are Cs at (0.196, 0.000, 0.127), Sr at (0.000, 0.000, 0.500), In at (0.100, 0.500, 0.181), Br at (0.050, 0.233, 0.775) and Br at (0.248, 0.500, 0.485).

No. 7
DFT (PBE-GGA) results for crystalline Mo2OsPt at its relaxed geometry.

The value obtained for the offset from the most stable computed form is 1.23 eV/f.u. Its density of states at the Fermi level is 1.3859 states/eV/atom. The calculation puts the formation enthalpy at 0 K at 0.565 eV/f.u.

The space group is P4/mmm (No. 123) and the conventional cell measures 3.359, 3.359 and 5.591 Å, with angles of 90.00, 90.00 and 90.00 degrees. The inequivalent atoms are Mo at (0.000, 0.000, 0.229), Os at (0.500, 0.500, 0.000) and Pt at (0.500, 0.500, 0.500).

No. 8
DFT (PBE-GGA) results for crystalline Mg2B2O5 at its relaxed geometry.

The energy relative to the elements, uncorrected comes out at -2.63 eV/atom. The value obtained for the offset from the most stable computed form is 0.00 eV/f.u. Its density of states at the Fermi level is 0.0000 states/eV/atom.

The space group is P2_1/c (No. 14) and the conventional cell measures 9.294, 3.161 and 12.433 Å, with angles of 90.00, 104.49 and 90.00 degrees. The inequivalent atoms are Mg at (0.102, 0.214, 0.186), Mg at (0.356, 0.709, 0.105), B at (0.169, 0.150, 0.440), B at (0.356, 0.724, 0.841), O at (0.054, 0.212, 0.348), O at (0.181, 0.228, 0.046), O at (0.258, 0.728, 0.238), O at (0.299, 0.578, 0.930) and O at (0.496, 0.201, 0.137).

The following theoretical density values (in kg/m3) correspond, in order, to the records above: 5940; 8781; 3412; 12465; 5535; 3807; 15191; 2822.